No. 1
Below is an optimized crystal structure of La2Pm8Ho, with properties calculated at the PBE level.

* final energy: -50.57 eV for the cell shown
* formation enthalpy at 0 K: 0.17 eV/atom
* theoretical density: 6.899 g/cm³
* excess energy over the best structure of this formula in the dataset: 151 meV per atom
* crystal system: trigonal

Unit cell a=7.0056 b=7.0056 c=9.0766 alpha=90.00 beta=90.00 gamma=120.00
Space group P-3m1 (No. 164)
One atom of each set of equivalent atoms:
La 0.3333 0.6667 0.3505 (multiplicity 2)
Pm 0.1655 0.3310 0.6715 (multiplicity 6)
Pm 0.3333 0.6667 0.9975 (multiplicity 2)
Ho 0.0000 0.0000 0.0000 (multiplicity 1)


No. 2
Below is an optimized crystal structure of LaPm4Ho2, with properties calculated at the PBE level.

* final energy: -65.63 eV for the cell shown
* formation enthalpy at 0 K: 0.04 eV/atom
* theoretical density: 7.301 g/cm³
* excess energy over the best structure of this formula in the dataset: 0 meV per atom
* crystal system: triclinic

Unit cell a=7.169 b=8.743 c=9.004 alpha=114.43 beta=101.33 gamma=101.86
Space group P1 (No. 1)
One atom of each set of equivalent atoms:
La 0.000 0.000 0.000 (multiplicity 1)
La 0.405 0.436 0.160 (multiplicity 1)
Pm 0.078 0.725 0.585 (multiplicity 1)
Pm 0.106 0.554 0.863 (multiplicity 1)
Pm 0.193 0.323 0.450 (multiplicity 1)
Pm 0.304 0.883 0.321 (multiplicity 1)
Pm 0.501 0.995 0.995 (multiplicity 1)
Pm 0.605 0.551 0.859 (multiplicity 1)
Pm 0.721 0.150 0.727 (multiplicity 1)
Pm 0.802 0.880 0.319 (multiplicity 1)
Ho 0.221 0.150 0.725 (multiplicity 1)
Ho 0.581 0.727 0.586 (multiplicity 1)
Ho 0.696 0.320 0.449 (multiplicity 1)
Ho 0.902 0.441 0.158 (multiplicity 1)


No. 3
Below is an optimized crystal structure of LaPmHo5, with properties calculated at the PBE level.

* final energy: -124.72 eV for the cell shown
* formation enthalpy at 0 K: 0.20 eV/atom
* theoretical density: 7.969 g/cm³
* excess energy over the best structure of this formula in the dataset: 0 meV per atom
* crystal system: monoclinic

Unit cell a=11.709 b=6.888 c=12.123 alpha=90.00 beta=109.08 gamma=90.00
Space group C2/c (No. 15)
One atom of each set of equivalent atoms:
La 0.000 0.026 0.250 (multiplicity 4)
Pm 0.250 0.250 0.000 (multiplicity 4)
Ho 0.000 0.409 0.750 (multiplicity 4)
Ho 0.080 0.283 0.499 (multiplicity 8)
Ho 0.220 0.362 0.253 (multiplicity 8)


No. 4
Below is an optimized crystal structure of LaPm15Ho4, with properties calculated at the PBE level.

* final energy: -94.17 eV for the cell shown
* formation enthalpy at 0 K: 0.02 eV/atom
* theoretical density: 7.284 g/cm³
* crystal system: tetragonal

Unit cell a=5.140 b=5.140 c=25.661 alpha=90.00 beta=90.00 gamma=90.00
Space group P4/mmm (No. 123)
One atom of each set of equivalent atoms:
La 0.000 0.000 0.000 (multiplicity 1)
Pm 0.000 0.500 0.103 (multiplicity 4)
Pm 0.000 0.500 0.302 (multiplicity 4)
Pm 0.000 0.500 0.500 (multiplicity 2)
Pm 0.500 0.500 0.000 (multiplicity 1)
Pm 0.500 0.500 0.203 (multiplicity 2)
Pm 0.500 0.500 0.401 (multiplicity 2)
Ho 0.000 0.000 0.202 (multiplicity 2)
Ho 0.000 0.000 0.401 (multiplicity 2)


No. 5
Below is an optimized crystal structure of LaPm2Ho3, with properties calculated at the PBE level.

* final energy: -109.77 eV for the cell shown
* formation enthalpy at 0 K: 0.12 eV/atom
* theoretical density: 7.559 g/cm³
* excess energy over the best structure of this formula in the dataset: 0 meV per atom
* crystal system: monoclinic

Unit cell a=23.249 b=3.532 c=10.438 alpha=90.00 beta=108.75 gamma=90.00
Space group C2/m (No. 12)
One atom of each set of equivalent atoms:
La 0.185 0.000 0.036 (multiplicity 4)
Pm 0.066 0.500 0.144 (multiplicity 4)
Pm 0.191 0.000 0.372 (multiplicity 4)
Ho 0.060 0.000 0.449 (multiplicity 4)
Ho 0.068 0.500 0.757 (multiplicity 4)
Ho 0.196 0.000 0.716 (multiplicity 4)


No. 6
Below is an optimized crystal structure of La2Pm3Ho6, with properties calculated at the PBE level.

* final energy: -97.52 eV for the cell shown
* formation enthalpy at 0 K: 0.26 eV/atom
* theoretical density: 7.369 g/cm³
* excess energy over the best structure of this formula in the dataset: 74 meV per atom
* crystal system: tetragonal

Unit cell a=4.791 b=4.791 c=33.426 alpha=90.00 beta=90.00 gamma=90.00
Space group I4/mmm (No. 139)
One atom of each set of equivalent atoms:
La 0.000 0.000 0.046 (multiplicity 4)
Pm 0.000 0.000 0.296 (multiplicity 4)
Pm 0.000 0.000 0.500 (multiplicity 2)
Ho 0.000 0.000 0.193 (multiplicity 4)
Ho 0.000 0.500 0.122 (multiplicity 8)


No. 7
Below is an optimized crystal structure of La12PmHo6, with properties calculated at the PBE level.

* final energy: -253.50 eV for the cell shown
* formation enthalpy at 0 K: 0.36 eV/atom
* theoretical density: 6.556 g/cm³
* excess energy over the best structure of this formula in the dataset: 336 meV per atom
* crystal system: trigonal

Unit cell a=13.8619 b=13.8619 c=12.7927 alpha=90.00 beta=90.00 gamma=120.00
Space group R-3m (No. 166, hexagonal axes)
One atom of each set of equivalent atoms:
La 0.0000 0.3901 0.0000 (multiplicity 18)
La 0.0934 0.1868 0.8655 (multiplicity 18)
Pm 0.0000 0.0000 0.5000 (multiplicity 3)
Ho 0.0305 0.5153 0.2225 (multiplicity 18)


No. 8
Below is an optimized crystal structure of La2Pm4Ho5, with properties calculated at the PBE level.

* final energy: -51.38 eV for the cell shown
* formation enthalpy at 0 K: 0.03 eV/atom
* theoretical density: 7.596 g/cm³
* excess energy over the best structure of this formula in the dataset: 0 meV per atom
* crystal system: triclinic

Unit cell a=3.589 b=8.703 c=12.178 alpha=90.81 beta=98.45 gamma=101.86
Space group P-1 (No. 2)
One atom of each set of equivalent atoms:
La 0.133 0.304 0.460 (multiplicity 2)
Pm 0.289 0.150 0.929 (multiplicity 2)
Pm 0.340 0.442 0.736 (multiplicity 2)
Ho 0.000 0.500 0.000 (multiplicity 1)
Ho 0.054 0.787 0.817 (multiplicity 2)
Ho 0.392 0.943 0.343 (multiplicity 2)


No. 9
Below is an optimized crystal structure of La7PmHo12, with properties calculated at the PBE level.

* final energy: -163.76 eV for the cell shown
* formation enthalpy at 0 K: 0.61 eV/atom
* theoretical density: 7.030 g/cm³
* excess energy over the best structure of this formula in the dataset: 394 meV per atom
* crystal system: cubic

Unit cell a=11.352 b=11.352 c=11.352 alpha=90.00 beta=90.00 gamma=90.00
Space group Im-3 (No. 204)
One atom of each set of equivalent atoms:
La 0.000 0.000 0.500 (multiplicity 6)
La 0.250 0.250 0.250 (multiplicity 8)
Pm 0.000 0.000 0.000 (multiplicity 2)
Ho 0.000 0.248 0.248 (multiplicity 24)


No. 10
Below is an optimized crystal structure of LaPm2Pr6Ho, with properties calculated at the PBE level.

* final energy: -186.40 eV for the cell shown
* formation enthalpy at 0 K: 0.11 eV/atom
* theoretical density: 6.687 g/cm³
* crystal system: monoclinic

Unit cell a=9.368 b=15.497 c=9.944 alpha=90.00 beta=97.99 gamma=90.00
Space group C2/c (No. 15)
One atom of each set of equivalent atoms:
La 0.000 0.021 0.250 (multiplicity 4)
Pm 0.246 0.049 0.545 (multiplicity 8)
Pr 0.067 0.185 0.946 (multiplicity 8)
Pr 0.098 0.395 0.118 (multiplicity 8)
Pr 0.211 0.223 0.313 (multiplicity 8)
Ho 0.000 0.409 0.750 (multiplicity 4)


No. 11
Below is an optimized crystal structure of LaPm2Pr5Ho, with properties calculated at the PBE level.

* final energy: -162.01 eV for the cell shown
* formation enthalpy at 0 K: 0.27 eV/atom
* theoretical density: 6.669 g/cm³
* crystal system: tetragonal

Unit cell a=9.072 b=9.072 c=15.712 alpha=90.00 beta=90.00 gamma=90.00
Space group I4/mcm (No. 140)
One atom of each set of equivalent atoms:
La 0.000 0.000 0.250 (multiplicity 4)
Pm 0.115 0.385 0.000 (multiplicity 8)
Pr 0.000 0.000 0.000 (multiplicity 4)
Pr 0.208 0.292 0.363 (multiplicity 16)
Ho 0.000 0.500 0.250 (multiplicity 4)


No. 12
Below is an optimized crystal structure of La4Pm2PrHo, with properties calculated at the PBE level.

* final energy: -38.45 eV for the cell shown
* formation enthalpy at 0 K: 0.01 eV/atom
* theoretical density: 6.744 g/cm³
* crystal system: orthorhombic

Unit cell a=5.235 b=5.264 c=10.288 alpha=90.00 beta=90.00 gamma=90.00
Space group Pmmm (No. 47)
One atom of each set of equivalent atoms:
La 0.000 0.000 0.247 (multiplicity 2)
La 0.500 0.500 0.247 (multiplicity 2)
Pm 0.000 0.500 0.000 (multiplicity 1)
Pm 0.500 0.000 0.500 (multiplicity 1)
Pr 0.000 0.500 0.500 (multiplicity 1)
Ho 0.500 0.000 0.000 (multiplicity 1)


No. 13
Below is an optimized crystal structure of La4PmPr2Ho, with properties calculated at the PBE level.

* final energy: -38.49 eV for the cell shown
* formation enthalpy at 0 K: 0.01 eV/atom
* theoretical density: 6.679 g/cm³
* crystal system: monoclinic

Unit cell a=5.237 b=5.268 c=10.339 alpha=90.00 beta=90.06 gamma=90.00
Space group P2/m (No. 10)
One atom of each set of equivalent atoms:
La 0.000 0.000 0.249 (multiplicity 2)
La 0.499 0.500 0.248 (multiplicity 2)
Pm 0.500 0.000 0.500 (multiplicity 1)
Pr 0.000 0.500 0.500 (multiplicity 1)
Pr 0.500 0.000 0.000 (multiplicity 1)
Ho 0.000 0.500 0.000 (multiplicity 1)


No. 14
Below is an optimized crystal structure of LaPmPrHo3, with properties calculated at the PBE level.

* final energy: -108.51 eV for the cell shown
* formation enthalpy at 0 K: 0.18 eV/atom
* theoretical density: 7.552 g/cm³
* crystal system: monoclinic

Unit cell a=20.137 b=5.659 c=7.097 alpha=90.00 beta=90.14 gamma=90.00
Space group C2/m (No. 12)
One atom of each set of equivalent atoms:
La 0.147 0.000 0.040 (multiplicity 4)
Pm 0.149 0.000 0.464 (multiplicity 4)
Pr 0.055 0.500 0.259 (multiplicity 4)
Ho 0.024 0.000 0.745 (multiplicity 4)
Ho 0.165 0.500 0.743 (multiplicity 4)
Ho 0.222 0.500 0.247 (multiplicity 4)


No. 15
Below is an optimized crystal structure of La3Pm6PrHo2, with properties calculated at the PBE level.

* final energy: -113.99 eV for the cell shown
* formation enthalpy at 0 K: 0.02 eV/atom
* theoretical density: 7.010 g/cm³
* crystal system: monoclinic

Unit cell a=6.335 b=10.978 c=12.160 alpha=90.00 beta=100.06 gamma=90.00
Space group C2/m (No. 12)
One atom of each set of equivalent atoms:
La 0.000 0.000 0.000 (multiplicity 2)
La 0.000 0.333 0.000 (multiplicity 4)
Pm 0.247 0.000 0.746 (multiplicity 4)
Pm 0.249 0.333 0.746 (multiplicity 8)
Pr 0.000 0.500 0.500 (multiplicity 2)
Ho 0.000 0.167 0.500 (multiplicity 4)


No. 16
Below is an optimized crystal structure of LaPm5PrHo2, with properties calculated at the PBE level.

* final energy: -165.14 eV for the cell shown
* formation enthalpy at 0 K: 0.15 eV/atom
* theoretical density: 7.090 g/cm³
* crystal system: orthorhombic

Unit cell a=5.722 b=20.258 c=10.786 alpha=90.00 beta=90.00 gamma=90.00
Space group Cmc2_1 (No. 36)
One atom of each set of equivalent atoms:
La 0.000 0.082 0.000 (multiplicity 4)
Pm 0.000 0.022 0.291 (multiplicity 4)
Pm 0.000 0.109 0.578 (multiplicity 4)
Pm 0.000 0.204 0.256 (multiplicity 4)
Pm 0.000 0.218 0.862 (multiplicity 4)
Pm 0.000 0.483 0.579 (multiplicity 4)
Pr 0.000 0.297 0.561 (multiplicity 4)
Ho 0.000 0.384 0.875 (multiplicity 4)
Ho 0.000 0.389 0.285 (multiplicity 4)


No. 17
Below is an optimized crystal structure of La2PmPr2Ho2, with properties calculated at the PBE level.

* final energy: -66.33 eV for the cell shown
* formation enthalpy at 0 K: 0.02 eV/atom
* theoretical density: 7.061 g/cm³
* crystal system: monoclinic

Unit cell a=11.553 b=5.172 c=8.224 alpha=90.00 beta=98.03 gamma=90.00
Space group C2/m (No. 12)
One atom of each set of equivalent atoms:
La 0.142 0.000 0.427 (multiplicity 4)
Pm 0.000 0.000 0.000 (multiplicity 2)
Pr 0.214 0.500 0.142 (multiplicity 4)
Ho 0.071 0.500 0.714 (multiplicity 4)


No. 18
Below is an optimized crystal structure of LaPm6Pr3Ho2, with properties calculated at the PBE level.

* final energy: -113.40 eV for the cell shown
* formation enthalpy at 0 K: 0.02 eV/atom
* theoretical density: 7.042 g/cm³
* crystal system: monoclinic

Unit cell a=6.333 b=10.965 c=12.149 alpha=90.00 beta=100.03 gamma=90.00
Space group C2/m (No. 12)
One atom of each set of equivalent atoms:
La 0.000 0.000 0.000 (multiplicity 2)
Pm 0.248 0.500 0.248 (multiplicity 4)
Pm 0.250 0.167 0.247 (multiplicity 8)
Pr 0.000 0.167 0.500 (multiplicity 4)
Pr 0.000 0.500 0.500 (multiplicity 2)
Ho 0.000 0.333 0.000 (multiplicity 4)


No. 19
Below is an optimized crystal structure of LaPm4PrHo2, with properties calculated at the PBE level.

* final energy: -37.71 eV for the cell shown
* formation enthalpy at 0 K: 0.02 eV/atom
* theoretical density: 7.235 g/cm³
* crystal system: monoclinic

Unit cell a=6.268 b=3.648 c=12.127 alpha=90.00 beta=100.08 gamma=90.00
Space group P2/m (No. 10)
One atom of each set of equivalent atoms:
La 0.000 0.000 0.000 (multiplicity 1)
Pm 0.251 0.000 0.751 (multiplicity 2)
Pm 0.252 0.500 0.252 (multiplicity 2)
Pr 0.000 0.500 0.500 (multiplicity 1)
Ho 0.500 0.000 0.500 (multiplicity 1)
Ho 0.500 0.500 0.000 (multiplicity 1)